An optimized crystal structure of Pr2Sm2H, computed with GGA-PBE.

Computed properties:
**Excess energy over the best structure of this formula in the dataset**: 0.004 eV per atom
**E_tot**: -23.2 eV/f.u.
**M_tot**: 0.000 μB per atom

Geometry as POSCAR:
```
Pr2Sm2H
1.0
5.1845 0.0000 0.0000
0.0000 5.1845 0.0000
0.0000 0.0000 5.1547
Pr Sm H
2 2 1
Cartesian
0.0000 2.5922 0.0000 Pr
2.5922 0.0000 0.0000 Pr
0.0000 0.0000 2.5774 Sm
2.5922 2.5922 2.5774 Sm
0.0000 0.0000 0.0000 H
```